First-principles (PBE-GGA) data for crystalline PmMgRu at its relaxed geometry, as listed in Alexandria via LeMat-Bulk.

abc: 4.0986 7.1784 8.7408
angles: 90.00 90.00 90.00
Atoms (fractional coordinates):
Ru 0.2500 0.7441 0.1395
Mg 0.2500 0.3636 0.0536
Pm 0.2500 0.4675 0.6753
Pm 0.2500 0.9675 0.8247
Ru 0.7500 0.7559 0.6395
Mg 0.7500 0.6364 0.9464
Pm 0.7500 0.0325 0.1753
Mg 0.2500 0.8636 0.4464
Ru 0.7500 0.2559 0.8605
Mg 0.7500 0.1364 0.5536
Pm 0.7500 0.5325 0.3247
Ru 0.2500 0.2441 0.3605

Calculated values
As for the energy above the most stable polymorph in this dataset: 0 meV per atom. As for the formation energy: -0.20 eV per atom. The calculation puts the mass density at 7.0 g cm⁻³.

---

First-principles (PBE-GGA) data for crystalline CoNiSbPt at its relaxed geometry, as listed in Alexandria via LeMat-Bulk.

abc: 4.3352 4.3352 4.3352
angles: 60.00 60.00 60.00
Atoms (fractional coordinates):
Co 0.7500 0.7500 0.7500
Sb 0.0000 0.0000 0.0000
Pt 0.5000 0.5000 0.5000
Ni 0.2500 0.2500 0.2500

Calculated values
As for the uncorrected formation energy: -32 meV/atom. The calculation puts the mass density at 12.5 g cm⁻³.

---

First-principles (PBE-GGA) data for crystalline HoBiTe3 at its relaxed geometry, as listed in Alexandria via LeMat-Bulk.

abc: 4.3903 7.6224 11.3620
angles: 102.16 90.00 90.00
Atoms (fractional coordinates):
Bi 0.7500 0.1382 0.6487
Te 0.2500 0.0392 0.8496
Te 0.7500 0.5280 0.8345
Bi 0.2500 0.8618 0.3513
Te 0.2500 0.2552 0.4958
Te 0.7500 0.9608 0.1504
Te 0.7500 0.7448 0.5042
Ho 0.7500 0.2672 0.0092
Te 0.2500 0.4720 0.1655
Ho 0.2500 0.7328 0.9908

Calculated values
As for the uncorrected formation energy: -797 meV/atom. As for the energy above the most stable polymorph in this dataset: 0 meV per atom. The calculation puts the mass density at 6.8 g cm⁻³.

---

First-principles (PBE-GGA) data for crystalline Hf2ZrVN at its relaxed geometry, as listed in Alexandria via LeMat-Bulk.

abc: 4.3801 4.3801 4.5134
angles: 90.00 90.00 90.00
Atoms (fractional coordinates):
Hf 0.5000 0.0000 0.0000
V 0.5000 0.5000 0.5000
Hf 0.0000 0.5000 0.0000
N 0.0000 0.0000 0.0000
Zr 0.0000 0.0000 0.5000

Calculated values
As for the uncorrected formation energy: -591 meV/atom. As for the energy above the most stable polymorph in this dataset: 9 meV per atom. The calculation puts the mass density at 9.8 g cm⁻³.

---

First-principles (PBE-GGA) data for crystalline K3Er3CrS8 at its relaxed geometry, as listed in Alexandria via LeMat-Bulk.

abc: 7.7331 7.7355 8.7614
angles: 116.23 90.00 119.99
Atoms (fractional coordinates):
S 0.2420 0.0283 0.3147
S 0.7861 0.5723 0.3146
S 0.7341 0.4681 0.7021
Cr 0.0000 0.0000 0.5000
K 0.5000 0.5000 0.0000
Er 0.0000 0.5000 0.5000
K 0.0000 0.0000 0.0000
S 0.2139 0.4277 0.6854
Er 0.5000 0.0000 0.5000
S 0.2659 0.5319 0.2979
S 0.7863 0.0283 0.3147
K 0.0000 0.5000 0.0000
S 0.2137 0.9717 0.6853
Er 0.5000 0.5000 0.5000
S 0.7580 0.9717 0.6853

Calculated values
As for the uncorrected formation energy: -1552 meV/atom. The calculation puts the mass density at 3.9 g cm⁻³.

---

First-principles (PBE-GGA) data for crystalline Li2Tl2I at its relaxed geometry, as listed in Alexandria via LeMat-Bulk.

abc: 8.6854 8.6854 3.7018
angles: 90.00 90.00 90.00
Atoms (fractional coordinates):
Li 0.8339 0.3339 0.5000
Tl 0.1377 0.3623 0.0000
Li 0.6661 0.8339 0.5000
Tl 0.3623 0.8623 0.0000
Li 0.3339 0.1661 0.5000
Tl 0.6377 0.1377 0.0000
Tl 0.8623 0.6377 0.0000
I 0.5000 0.5000 0.0000
Li 0.1661 0.6661 0.5000
I 0.0000 0.0000 0.0000

Calculated values
As for the uncorrected formation energy: -178 meV/atom. As for the energy above the most stable polymorph in this dataset: 124 meV per atom. The calculation puts the mass density at 6.5 g cm⁻³.

---

First-principles (PBE-GGA) data for crystalline CdCoSiSn2 at its relaxed geometry, as listed in Alexandria via LeMat-Bulk.

abc: 5.5357 4.8503 5.5357
angles: 90.00 90.00 90.00
Atoms (fractional coordinates):
Sn 0.5000 0.0000 0.0000
Co 0.5000 0.5000 0.5000
Si 0.0000 0.5000 0.0000
Sn 0.0000 0.0000 0.5000
Cd 0.0000 0.0000 0.0000

Calculated values
As for the uncorrected formation energy: 1338 meV/atom. The calculation puts the mass density at 4.9 g cm⁻³.

---

First-principles (PBE-GGA) data for crystalline HPd3Pt at its relaxed geometry, as listed in Alexandria via LeMat-Bulk.

abc: 5.6866 4.9126 5.7111
angles: 90.30 120.12 73.19
Atoms (fractional coordinates):
Pt 0.7645 0.9886 0.0431
H 0.9857 0.7157 0.4370
Pd 0.2512 0.9899 0.5327
Pd 0.2539 0.4889 0.2915
Pd 0.7529 0.4889 0.7932
Pd 0.7474 0.9983 0.5410
Pd 0.7456 0.4940 0.2883
Pt 0.2450 0.9897 0.0510
Pd 0.2483 0.5067 0.7933
H 0.3760 0.1144 0.8615

Calculated values
As for the energy above the most stable polymorph in this dataset: 25 meV per atom. The calculation puts the mass density at 13.1 g cm⁻³.